The following is a DFT calculation (GGA-PBE) of crystalline NbPd2O at its relaxed geometry.

Computed properties:
Formation energy from raw total energies, meV per atom: -223.6
V, Å³ per atom: 15.8
Energy, eV per atom: -6.58

a b c (Å): 7.903 7.903 4.052
angles (deg): 90.00 90.00 90.00
Sites, in units of the cell vectors:
Nb 0.000 0.000 0.000
Nb 0.000 0.500 0.250
Nb 0.500 0.000 0.750
Nb 0.500 0.500 0.500
Pd 0.145 0.250 0.625
Pd 0.250 0.645 0.875
Pd 0.250 0.855 0.375
Pd 0.355 0.250 0.125
Pd 0.645 0.750 0.125
Pd 0.750 0.145 0.375
Pd 0.750 0.355 0.875
Pd 0.855 0.750 0.625
O 0.000 0.000 0.500
O 0.000 0.500 0.750
O 0.500 0.000 0.250
O 0.500 0.500 0.000


The following is a DFT calculation (GGA-PBE) of crystalline NbPdO3 at its relaxed geometry.

Computed properties:
Formation energy from raw total energies, meV per atom: -1405.7
V, Å³ per atom: 12.6
Energy, eV per atom: -7.43

a b c (Å): 3.980 3.980 3.980
angles (deg): 90.00 90.00 90.00
Sites, in units of the cell vectors:
Nb 0.000 0.000 0.000
Pd 0.500 0.500 0.500
O 0.000 0.000 0.500
O 0.000 0.500 0.000
O 0.500 0.000 0.000


The following is a DFT calculation (GGA-PBE) of crystalline NbPd3O at its relaxed geometry.

Computed properties:
Formation energy from raw total energies, meV per atom: 1445.1
Energy relative to the lowest polymorph listed for this composition, meV per atom: 1243
V, Å³ per atom: 22.5
Energy, eV per atom: -4.68

a b c (Å): 4.824 4.824 4.824
angles (deg): 90.00 90.00 90.00
Sites, in units of the cell vectors:
Nb 0.000 0.000 0.000
Pd 0.000 0.000 0.500
Pd 0.000 0.500 0.000
Pd 0.500 0.000 0.000
O 0.500 0.500 0.500


The following is a DFT calculation (GGA-PBE) of crystalline Nb2PdO at its relaxed geometry.

Computed properties:
Formation energy from raw total energies, meV per atom: -663.0
V, Å³ per atom: 15.2
Energy, eV per atom: -8.24

a b c (Å): 3.393 3.393 18.284
angles (deg): 90.00 90.00 120.00
Sites, in units of the cell vectors:
Nb 0.000 0.000 0.221
Nb 0.000 0.000 0.779
Nb 0.333 0.667 0.446
Nb 0.333 0.667 0.887
Nb 0.667 0.333 0.113
Nb 0.667 0.333 0.554
Pd 0.000 0.000 0.000
Pd 0.333 0.667 0.667
Pd 0.667 0.333 0.333
O 0.000 0.000 0.500
O 0.333 0.667 0.167
O 0.667 0.333 0.833


The following is a DFT calculation (GGA-PBE) of crystalline Nb2PdO at its relaxed geometry.

Computed properties:
Formation energy from raw total energies, meV per atom: -510.5
V, Å³ per atom: 18.0
Energy, eV per atom: -8.08

a b c (Å): 4.947 4.947 11.747
angles (deg): 90.00 90.00 90.00
Sites, in units of the cell vectors:
Nb 0.151 0.250 0.125
Nb 0.250 0.651 0.375
Nb 0.250 0.849 0.875
Nb 0.349 0.250 0.625
Nb 0.651 0.750 0.625
Nb 0.750 0.151 0.875
Nb 0.750 0.349 0.375
Nb 0.849 0.750 0.125
Pd 0.000 0.000 0.500
Pd 0.000 0.500 0.750
Pd 0.500 0.000 0.250
Pd 0.500 0.500 0.000
O 0.000 0.000 0.000
O 0.000 0.500 0.250
O 0.500 0.000 0.750
O 0.500 0.500 0.500


The following is a DFT calculation (GGA-PBE) of crystalline NbPd3O at its relaxed geometry.

Computed properties:
Formation energy from raw total energies, meV per atom: 201.9
Energy relative to the lowest polymorph listed for this composition, meV per atom: 0
V, Å³ per atom: 15.2
Energy, eV per atom: -5.92

a b c (Å): 4.238 4.238 4.238
angles (deg): 90.00 90.00 90.00
Sites, in units of the cell vectors:
Nb 0.000 0.000 0.000
Pd 0.000 0.500 0.500
Pd 0.500 0.000 0.500
Pd 0.500 0.500 0.000
O 0.500 0.500 0.500


The following is a DFT calculation (GGA-PBE) of crystalline Nb3PdO at its relaxed geometry.

Computed properties:
Formation energy from raw total energies, meV per atom: 1713.1
V, Å³ per atom: 22.7
Energy, eV per atom: -6.36

a b c (Å): 4.843 4.843 4.843
angles (deg): 90.00 90.00 90.00
Sites, in units of the cell vectors:
Nb 0.000 0.000 0.500
Nb 0.000 0.500 0.000
Nb 0.500 0.000 0.000
Pd 0.000 0.000 0.000
O 0.500 0.500 0.500


The following is a DFT calculation (GGA-PBE) of crystalline NbPdO3 at its relaxed geometry.

Computed properties:
Formation energy from raw total energies, meV per atom: -80.9
V, Å³ per atom: 12.1
Energy, eV per atom: -6.11

a b c (Å): 3.921 3.921 3.921
angles (deg): 90.00 90.00 90.00
Sites, in units of the cell vectors:
Nb 0.000 0.000 0.000
Pd 0.500 0.500 0.500
O 0.000 0.500 0.500
O 0.500 0.000 0.500
O 0.500 0.500 0.000